Density functional theory data (PBE+U) for a relaxed PaNiPt2O6 crystal.

Structure (extended XYZ):
```
20
Lattice="5.2021 -0.3583 -0.3718 1.1034 7.5303 0.8457 1.1034 0.5661 7.5565" Properties=species:S:1:pos:R:3 pbc="T T T"
Pa 2.4040 2.4145 5.5961
Pa 5.0050 5.3236 2.4344
Ni 2.4040 6.8629 1.3096
Ni 5.0050 0.8752 6.7208
Pt 2.2597 6.1981 6.0036
Pt 2.5482 2.1475 1.7999
Pt 5.1493 1.5400 2.0268
Pt 4.8608 5.5906 6.2305
O 2.5269 7.8368 7.0287
O 2.2810 1.1839 0.1244
O 4.8821 -0.0987 1.0018
O 5.1280 6.5542 7.9060
O 3.4858 6.3918 2.9857
O 1.3221 5.1705 1.7183
O 3.9232 1.3463 5.0447
O 6.0869 2.5676 6.3121
O 5.9527 5.0233 4.6424
O 4.0574 3.1060 2.6526
O 1.4564 2.7149 3.3881
O 3.3516 4.6321 5.3778
```

Computed properties:
Its total DFT energy (no corrections) is -6.700 eV per atom. The calculation puts the density of states at the Fermi level at 0.3606 states/eV per atom. As for the total magnetic moment: 0.1759 μB/atom.